1.
# AgAu4 (GGA-PBE, optimized geometry)
# * M_tot: 0.0 μB/cell
# * SG: No. 229
# * E above lowest polymorph: 430 meV per atom
data_AgAu4
_space_group_name_H-M_alt 'P 1'
_space_group_IT_number 1
_space_group_name_Hall 'P 1'
_cell_length_a 5.283
_cell_length_b 5.283
_cell_length_c 5.283
_cell_angle_alpha 109.47
_cell_angle_beta 109.47
_cell_angle_gamma 109.47
loop_
_atom_site_label
_atom_site_type_symbol
_atom_site_fract_x
_atom_site_fract_y
_atom_site_fract_z
Au1 Au 0.500 0.500 0.500
Au2 Au 0.000 0.500 0.000
Au3 Au 0.500 0.000 0.000
Au4 Au 0.000 0.000 0.500
Ag1 Ag 0.000 0.000 0.000


2.
# Ag13Au3 (GGA-PBE, optimized geometry)
# * M_tot: 0.0 μB/cell
# * SG: No. 38
# * uncorrected energy: -2.938 eV/atom
data_Ag13Au3
_space_group_name_H-M_alt 'P 1'
_space_group_IT_number 1
_space_group_name_Hall 'P 1'
_cell_length_a 5.944
_cell_length_b 5.944
_cell_length_c 8.128
_cell_angle_alpha 90.00
_cell_angle_beta 90.00
_cell_angle_gamma 89.98
loop_
_atom_site_label
_atom_site_type_symbol
_atom_site_fract_x
_atom_site_fract_y
_atom_site_fract_z
Ag1 Ag 0.250 0.250 0.500
Ag2 Ag 0.000 0.500 0.250
Ag3 Ag 0.250 0.750 0.500
Ag4 Ag 0.000 0.500 0.750
Ag5 Ag 0.500 0.000 0.750
Au1 Au 0.001 0.999 0.750
Ag6 Ag 0.500 0.000 0.250
Ag7 Ag 0.500 0.500 0.750
Ag8 Ag 0.250 0.251 0.000
Ag9 Ag 0.250 0.750 0.000
Ag10 Ag 0.749 0.750 0.000
Ag11 Ag 0.750 0.250 0.500
Ag12 Ag 0.750 0.750 0.500
Ag13 Ag 0.500 0.500 0.250
Au2 Au 0.001 0.999 0.250
Au3 Au 0.749 0.251 0.000


3.
# Ag2Au3 (GGA-PBE, optimized geometry)
# * M_tot: 0.0 μB/cell
# * SG: No. 83
# * E above lowest polymorph: 0 meV per atom
data_Ag2Au3
_space_group_name_H-M_alt 'P 1'
_space_group_IT_number 1
_space_group_name_Hall 'P 1'
_cell_length_a 4.225
_cell_length_b 6.516
_cell_length_c 6.516
_cell_angle_alpha 90.00
_cell_angle_beta 90.00
_cell_angle_gamma 90.00
loop_
_atom_site_label
_atom_site_type_symbol
_atom_site_fract_x
_atom_site_fract_y
_atom_site_fract_z
Au1 Au 0.500 0.500 0.500
Au2 Au 0.000 0.801 0.601
Au3 Au 0.000 0.601 0.199
Au4 Au 0.000 0.399 0.801
Ag1 Ag 0.500 0.900 0.300
Ag2 Ag 0.500 0.700 0.900
Ag3 Ag 0.500 0.100 0.700
Au5 Au 0.000 0.000 0.000
Au6 Au 0.000 0.199 0.399
Ag4 Ag 0.500 0.300 0.100


4.
# Ag2Au3 (GGA-PBE, optimized geometry)
# * M_tot: 0.0 μB/cell
# * SG: No. 2
# * E above lowest polymorph: 14 meV per atom
data_Ag2Au3
_space_group_name_H-M_alt 'P 1'
_space_group_IT_number 1
_space_group_name_Hall 'P 1'
_cell_length_a 7.750
_cell_length_b 5.899
_cell_length_c 6.596
_cell_angle_alpha 47.75
_cell_angle_beta 74.80
_cell_angle_gamma 55.17
loop_
_atom_site_label
_atom_site_type_symbol
_atom_site_fract_x
_atom_site_fract_y
_atom_site_fract_z
Au1 Au 0.300 0.099 0.901
Ag1 Ag 0.500 0.500 0.500
Ag2 Ag 0.500 0.000 0.500
Au2 Au 0.302 0.601 0.898
Au3 Au 0.698 0.399 0.102
Au4 Au 0.700 0.901 0.099
Ag3 Ag 0.901 0.300 0.699
Au5 Au 0.099 0.201 0.300
Ag4 Ag 0.099 0.700 0.301
Au6 Au 0.901 0.799 0.700


5.
# Ag6Au (GGA-PBE, optimized geometry)
# * M_tot: 0.0 μB/cell
# * SG: No. 229
# * E above lowest polymorph: 881 meV per atom
data_Ag6Au
_space_group_name_H-M_alt 'P 1'
_space_group_IT_number 1
_space_group_name_Hall 'P 1'
_cell_length_a 6.461
_cell_length_b 6.461
_cell_length_c 6.461
_cell_angle_alpha 109.47
_cell_angle_beta 109.47
_cell_angle_gamma 109.47
loop_
_atom_site_label
_atom_site_type_symbol
_atom_site_fract_x
_atom_site_fract_y
_atom_site_fract_z
Ag1 Ag 0.250 0.750 0.500
Ag2 Ag 0.750 0.500 0.250
Ag3 Ag 0.500 0.750 0.250
Ag4 Ag 0.500 0.250 0.750
Ag5 Ag 0.750 0.250 0.500
Ag6 Ag 0.250 0.500 0.750
Au1 Au 0.000 0.000 0.000


6.
# Ag8Au3 (GGA-PBE, optimized geometry)
# * M_tot: 0.0 μB/cell
# * SG: No. 12
# * E above lowest polymorph: 0 meV per atom
data_Ag8Au3
_space_group_name_H-M_alt 'P 1'
_space_group_IT_number 1
_space_group_name_Hall 'P 1'
_cell_length_a 4.192
_cell_length_b 5.106
_cell_length_c 10.433
_cell_angle_alpha 103.08
_cell_angle_beta 90.00
_cell_angle_gamma 114.24
loop_
_atom_site_label
_atom_site_type_symbol
_atom_site_fract_x
_atom_site_fract_y
_atom_site_fract_z
Au1 Au 0.000 0.000 0.000
Ag1 Ag 0.545 0.091 0.818
Au2 Au 0.091 0.183 0.636
Ag2 Ag 0.182 0.364 0.273
Ag3 Ag 0.455 0.909 0.182
Ag4 Ag 0.364 0.729 0.546
Ag5 Ag 0.818 0.636 0.727
Au3 Au 0.909 0.817 0.364
Ag6 Ag 0.636 0.271 0.454
Ag7 Ag 0.727 0.455 0.091
Ag8 Ag 0.273 0.545 0.909


7.
# Ag2Au3 (GGA-PBE, optimized geometry)
# * M_tot: 0.0 μB/cell
# * SG: No. 139
# * E above lowest polymorph: 3 meV per atom
data_Ag2Au3
_space_group_name_H-M_alt 'P 1'
_space_group_IT_number 1
_space_group_name_Hall 'P 1'
_cell_length_a 10.734
_cell_length_b 2.918
_cell_length_c 2.918
_cell_angle_alpha 90.00
_cell_angle_beta 97.81
_cell_angle_gamma 82.19
loop_
_atom_site_label
_atom_site_type_symbol
_atom_site_fract_x
_atom_site_fract_y
_atom_site_fract_z
Au1 Au 0.200 0.400 0.600
Ag1 Ag 0.400 0.800 0.200
Au2 Au 0.598 0.201 0.799
Ag2 Ag 0.000 0.000 0.000
Au3 Au 0.802 0.599 0.401


8.
# Ag4Au5 (GGA-PBE, optimized geometry)
# * M_tot: 0.0 μB/cell
# * SG: No. 139
# * E above lowest polymorph: 0 meV per atom
data_Ag4Au5
_space_group_name_H-M_alt 'P 1'
_space_group_IT_number 1
_space_group_name_Hall 'P 1'
_cell_length_a 9.064
_cell_length_b 9.064
_cell_length_c 6.704
_cell_angle_alpha 47.47
_cell_angle_beta 47.47
_cell_angle_gamma 90.00
loop_
_atom_site_label
_atom_site_type_symbol
_atom_site_fract_x
_atom_site_fract_y
_atom_site_fract_z
Ag1 Ag 0.666 0.000 0.000
Au1 Au 0.333 0.333 0.000
Au2 Au 0.000 0.000 0.000
Ag2 Ag 0.334 0.000 0.000
Au3 Au 0.667 0.333 0.000
Au4 Au 0.333 0.667 0.000
Ag3 Ag 0.000 0.666 0.000
Au5 Au 0.667 0.667 0.000
Ag4 Ag 0.000 0.334 0.000